(1)
Sr2InSeBr after structural relaxation, computed with GGA-PBEsol.

The structure belongs to space group P4/mmm (No. 123); the cell edges are 6.157, 6.157 and 5.288 Å and the angles 90.00°, 90.00° and 90.00°. The asymmetric unit holds Sr at (0.000, 0.500, 0.000), In at (0.000, 0.000, 0.000), Se at (0.500, 0.500, 0.500) and Br at (0.000, 0.000, 0.500).

The crystal system is tetragonal. As for the total energy: -2.87 eV/atom.


(2)
InTcSe2Br after structural relaxation, computed with GGA-PBEsol.

The structure belongs to space group P4/mmm (No. 123); the cell edges are 4.769, 4.769 and 5.370 Å and the angles 90.00°, 90.00° and 90.00°. The asymmetric unit holds In at (0.000, 0.000, 0.000), Tc at (0.500, 0.500, 0.500), Se at (0.000, 0.500, 0.500) and Br at (0.500, 0.500, 0.000).

The crystal system is tetragonal. As for the total energy: -4.76 eV/atom.


- What is the formula in the second record?
  InTcSe2Br


- What is the formula in the second record?
  InTcSe2Br